(1)
TbHoTcNi: relaxed, PBE.

Space group: F-43m
Spin magnetization: 0.0 μB/f.u.
Energy: -25.82 eV per formula unit
Formation enthalpy at 0 K: -0.12 eV per atom
N(E_F): 3.57 states/eV per cell

a = 4.8044 Å, b = 4.8044 Å, c = 4.8044 Å
α = 60.00°, β = 60.00°, γ = 60.00°
Sites, in units of the cell vectors:
Tb 0.0000 0.0000 0.0000
Ho 0.5000 0.5000 0.5000
Tc 0.7500 0.7500 0.7500
Ni 0.2500 0.2500 0.2500

***

(2)
Ho4TcNi: relaxed, PBE.

Space group: I4_1md
Spin magnetization: 0.0 μB/f.u.
Energy: -34.60 eV per formula unit
Formation enthalpy at 0 K: -0.02 eV per atom
N(E_F): 7.58 states/eV per cell

a = 7.5667 Å, b = 7.5667 Å, c = 7.5667 Å
α = 106.43°, β = 106.43°, γ = 115.75°
Sites, in units of the cell vectors:
Ho 0.2078 0.5064 0.7013
Ho 0.2564 0.0551 0.7987
Ho 0.2564 0.4578 0.2013
Ho 0.2945 0.0000 0.2945
Ho 0.7055 0.0000 0.7055
Ho 0.7500 0.5445 0.7945
Ho 0.7500 0.9555 0.2055
Ho 0.8051 0.5064 0.2987
Tc 0.2611 0.7611 0.5000
Tc 0.5111 0.5111 0.0000
Ni 0.0008 0.0008 0.0000
Ni 0.7508 0.2508 0.5000

***

(3)
Ho6TcNi2: relaxed, PBE.

Space group: Immm
Spin magnetization: 0.0 μB/f.u.
Energy: -51.36 eV per formula unit
Formation enthalpy at 0 K: -0.22 eV per atom
N(E_F): 18.67 states/eV per cell

a = 8.1632 Å, b = 8.1632 Å, c = 8.1632 Å
α = 110.71°, β = 109.87°, γ = 107.85°
Sites, in units of the cell vectors:
Ho 0.0222 0.8276 0.1946
Ho 0.2596 0.3236 0.5832
Ho 0.2596 0.6764 0.9360
Ho 0.2614 0.5748 0.3134
Ho 0.2614 0.9480 0.6866
Ho 0.3671 0.1724 0.1946
Ho 0.6329 0.8276 0.8054
Ho 0.7386 0.0520 0.3134
Ho 0.7386 0.4252 0.6866
Ho 0.7404 0.3236 0.0640
Ho 0.7404 0.6764 0.4168
Ho 0.9778 0.1724 0.8054
Tc 0.0000 0.5000 0.5000
Tc 0.5000 0.0000 0.5000
Ni 0.0000 0.1570 0.1570
Ni 0.0000 0.8430 0.8430
Ni 0.3812 0.3812 0.0000
Ni 0.6188 0.6188 0.0000

***

(4)
Ho2TcNi: relaxed, PBE.

Space group: P4/mmm
Spin magnetization: 0.0 μB/f.u.
Energy: -25.99 eV per formula unit
Formation enthalpy at 0 K: -0.17 eV per atom
N(E_F): 4.86 states/eV per cell

a = 3.4218 Å, b = 3.4218 Å, c = 6.6561 Å
α = 90.00°, β = 90.00°, γ = 90.00°
Sites, in units of the cell vectors:
Ho 0.0000 0.0000 0.2492
Ho 0.0000 0.0000 0.7508
Tc 0.5000 0.5000 0.5000
Ni 0.5000 0.5000 0.0000

***

(5)
Ho8TcNi2: relaxed, PBE.

Space group: Cm
Spin magnetization: 0.0 μB/f.u.
Energy: -59.66 eV per formula unit
Formation enthalpy at 0 K: -0.10 eV per atom
N(E_F): 11.36 states/eV per cell

a = 7.4886 Å, b = 7.4886 Å, c = 5.7341 Å
α = 99.82°, β = 99.82°, γ = 114.13°
Sites, in units of the cell vectors:
Ho 0.0000 0.0000 0.0000
Ho 0.0285 0.2814 0.5745
Ho 0.1386 0.5727 0.1745
Ho 0.2814 0.0285 0.5745
Ho 0.4364 0.6886 0.7627
Ho 0.5727 0.1386 0.1745
Ho 0.6886 0.4364 0.7627
Ho 0.7214 0.7214 0.3563
Tc 0.3619 0.3619 0.2819
Ni 0.0551 0.6685 0.6790
Ni 0.6685 0.0551 0.6790

***

(6)
Ho8TcNi2: relaxed, PBE.

Space group: C2/m
Spin magnetization: 0.0 μB/f.u.
Energy: -60.45 eV per formula unit
Formation enthalpy at 0 K: -0.17 eV per atom
N(E_F): 11.97 states/eV per cell

a = 8.8338 Å, b = 8.8338 Å, c = 6.6729 Å
α = 106.59°, β = 106.59°, γ = 32.76°
Sites, in units of the cell vectors:
Ho 0.0345 0.0345 0.2950
Ho 0.1986 0.1986 0.8195
Ho 0.3289 0.3289 0.5258
Ho 0.4069 0.4069 0.0511
Ho 0.5931 0.5931 0.9489
Ho 0.6711 0.6711 0.4742
Ho 0.8014 0.8014 0.1805
Ho 0.9655 0.9655 0.7050
Tc 0.5000 0.5000 0.5000
Ni 0.1872 0.1872 0.2063
Ni 0.8128 0.8128 0.7937

***

(7)
HoTcNi4: relaxed, PBE.

Space group: F-43m
Spin magnetization: 4.1 μB/f.u.
Energy: -38.73 eV per formula unit
Formation enthalpy at 0 K: -0.11 eV per atom
N(E_F): 4.27 states/eV per cell

a = 4.8890 Å, b = 4.8890 Å, c = 4.8890 Å
α = 60.00°, β = 60.00°, γ = 60.00°
Sites, in units of the cell vectors:
Ho 0.0000 0.0000 0.0000
Tc 0.7500 0.7500 0.7500
Ni 0.3753 0.3753 0.3753
Ni 0.3753 0.3753 0.8741
Ni 0.3753 0.8741 0.3753
Ni 0.8741 0.3753 0.3753

***

(8)
Ho4TcNi: relaxed, PBE.

Space group: Pnma
Spin magnetization: 0.0 μB/f.u.
Energy: -35.62 eV per formula unit
Formation enthalpy at 0 K: -0.19 eV per atom
N(E_F): 18.49 states/eV per cell

a = 7.2973 Å, b = 4.4182 Å, c = 17.6857 Å
α = 90.00°, β = 90.00°, γ = 90.00°
Sites, in units of the cell vectors:
Ho 0.0118 0.2500 0.0758
Ho 0.0746 0.2500 0.7794
Ho 0.0891 0.2500 0.3505
Ho 0.1505 0.2500 0.5456
Ho 0.3495 0.7500 0.0456
Ho 0.4109 0.7500 0.8505
Ho 0.4254 0.7500 0.2794
Ho 0.4882 0.7500 0.5758
Ho 0.5118 0.2500 0.4242
Ho 0.5746 0.2500 0.7206
Ho 0.5891 0.2500 0.1495
Ho 0.6505 0.2500 0.9544
Ho 0.8495 0.7500 0.4544
Ho 0.9109 0.7500 0.6495
Ho 0.9254 0.7500 0.2206
Ho 0.9882 0.7500 0.9242
Tc 0.2501 0.2500 0.9374
Tc 0.2499 0.7500 0.4374
Tc 0.7501 0.2500 0.5626
Tc 0.7499 0.7500 0.0626
Ni 0.2262 0.2500 0.2060
Ni 0.2738 0.7500 0.7060
Ni 0.7262 0.2500 0.2940
Ni 0.7738 0.7500 0.7940

***

(9)
Ho2TcNi: relaxed, PBE.

Space group: R-3m
Spin magnetization: 0.9 μB/f.u.
Energy: -23.06 eV per formula unit
Formation enthalpy at 0 K: 0.56 eV per atom
N(E_F): 2.80 states/eV per cell

a = 9.4125 Å, b = 9.4125 Å, c = 9.4125 Å
α = 19.97°, β = 19.97°, γ = 19.97°
Sites, in units of the cell vectors:
Ho 0.0957 0.0957 0.0957
Ho 0.9043 0.9043 0.9043
Tc 0.0000 0.0000 0.0000
Ni 0.5000 0.5000 0.5000

***

(10)
Ho8Tc2Ni: relaxed, PBE.

Space group: Cm
Spin magnetization: 0.0 μB/f.u.
Energy: -63.85 eV per formula unit
Formation enthalpy at 0 K: -0.06 eV per atom
N(E_F): 8.89 states/eV per cell

a = 7.5706 Å, b = 7.5706 Å, c = 5.8720 Å
α = 101.63°, β = 101.63°, γ = 113.23°
Sites, in units of the cell vectors:
Ho 0.0000 0.0000 0.0000
Ho 0.0317 0.2892 0.5969
Ho 0.1682 0.5793 0.2086
Ho 0.2892 0.0317 0.5969
Ho 0.4538 0.7191 0.8064
Ho 0.5793 0.1682 0.2086
Ho 0.7191 0.4538 0.8064
Ho 0.7250 0.7250 0.3936
Tc 0.0538 0.6702 0.6763
Tc 0.6702 0.0538 0.6763
Ni 0.3566 0.3566 0.3614

***

(11)
HoTcNi: relaxed, PBE.

Space group: P4_12_12
Spin magnetization: 0.0 μB/f.u.
Energy: -20.13 eV per formula unit
Formation enthalpy at 0 K: 0.20 eV per atom
N(E_F): 10.04 states/eV per cell

a = 6.7220 Å, b = 6.7220 Å, c = 5.5829 Å
α = 90.00°, β = 90.00°, γ = 90.00°
Sites, in units of the cell vectors:
Ho 0.2327 0.2327 0.0000
Ho 0.2673 0.7327 0.2500
Ho 0.7327 0.2673 0.7500
Ho 0.7673 0.7673 0.5000
Tc 0.0684 0.0684 0.5000
Tc 0.4316 0.5684 0.7500
Tc 0.5684 0.4316 0.2500
Tc 0.9316 0.9316 0.0000
Ni 0.1879 0.8121 0.7500
Ni 0.3121 0.3121 0.5000
Ni 0.6879 0.6879 0.0000
Ni 0.8121 0.1879 0.2500

***

(12)
HoTmTcNi: relaxed, PBE.

Space group: F-43m
Spin magnetization: 0.0 μB/f.u.
Energy: -25.87 eV per formula unit
Formation enthalpy at 0 K: -0.17 eV per atom
N(E_F): 3.51 states/eV per cell

a = 4.7626 Å, b = 4.7626 Å, c = 4.7626 Å
α = 60.00°, β = 60.00°, γ = 60.00°
Sites, in units of the cell vectors:
Ho 0.0000 0.0000 0.0000
Tm 0.5000 0.5000 0.5000
Tc 0.2500 0.2500 0.2500
Ni 0.7500 0.7500 0.7500